1.
# Si2SnF

An optimized crystal structure of Si2SnF (GGA-PBE, Alexandria).

a = 3.5475 Å, b = 3.5475 Å, c = 11.7215 Å
α = 81.30°, β = 81.30°, γ = 90.00°
Sites, in units of the cell vectors:
Si 0.6285 0.1250 0.2500
Si 0.1215 0.6250 0.2500
Si 0.3750 0.3715 0.7500
Si 0.8750 0.8785 0.7500
Sn 0.0000 0.0000 0.0000
Sn 0.7500 0.2500 0.5000
F 0.5000 0.5000 0.0000
F 0.2500 0.7500 0.5000

Spin magnetization, μB/f.u.: 0.0

2.
# Si2SnF

An optimized crystal structure of Si2SnF (GGA-PBE, Alexandria).

a = 4.5952 Å, b = 4.5952 Å, c = 4.5952 Å
α = 60.00°, β = 60.00°, γ = 60.00°
Sites, in units of the cell vectors:
Si 0.2500 0.2500 0.2500
Si 0.7500 0.7500 0.7500
Sn 0.5000 0.5000 0.5000
F 0.0000 0.0000 0.0000

Spin magnetization, μB/f.u.: 0.0

Which is most stable, and by how much? 1, by 268 meV per atom.

1.
# SiSn2F

An optimized crystal structure of SiSn2F (GGA-PBE, Alexandria).

a = 4.7802 Å, b = 4.7802 Å, c = 4.7802 Å
α = 60.00°, β = 60.00°, γ = 60.00°
Sites, in units of the cell vectors:
Si 0.5000 0.5000 0.5000
Sn 0.2500 0.2500 0.2500
Sn 0.7500 0.7500 0.7500
F 0.0000 0.0000 0.0000

Spin magnetization, μB/f.u.: 0.0

2.
# SiSn2F

An optimized crystal structure of SiSn2F (GGA-PBE, Alexandria).

a = 4.9512 Å, b = 4.9512 Å, c = 8.3904 Å
α = 72.84°, β = 72.84°, γ = 90.00°
Sites, in units of the cell vectors:
Si 0.0000 0.0000 0.0000
Si 0.7500 0.2500 0.5000
Sn 0.5693 0.1250 0.2500
Sn 0.1807 0.6250 0.2500
Sn 0.3750 0.4307 0.7500
Sn 0.8750 0.8193 0.7500
F 0.5000 0.5000 0.0000
F 0.2500 0.7500 0.5000

Spin magnetization, μB/f.u.: 0.0

Which is most stable, and by how much? 1, by 112 meV per atom.

1.
# SiSnF2

An optimized crystal structure of SiSnF2 (GGA-PBE, Alexandria).

a = 4.4903 Å, b = 4.4903 Å, c = 4.4903 Å
α = 60.00°, β = 60.00°, γ = 60.00°
Sites, in units of the cell vectors:
Si 0.0000 0.0000 0.0000
Sn 0.5000 0.5000 0.5000
F 0.2500 0.2500 0.2500
F 0.7500 0.7500 0.7500

Spin magnetization, μB/f.u.: 0.0

2.
# SiSnF2

An optimized crystal structure of SiSnF2 (GGA-PBE, Alexandria).

a = 9.1980 Å, b = 9.1980 Å, c = 9.1980 Å
α = 21.03°, β = 21.03°, γ = 21.03°
Sites, in units of the cell vectors:
Si 0.5000 0.5000 0.5000
Sn 0.0000 0.0000 0.0000
F 0.8728 0.8728 0.8728
F 0.1272 0.1272 0.1272

Spin magnetization, μB/f.u.: 0.0

Which is most stable, and by how much? 2, by 311 meV per atom.

1.
# SiSnF2

An optimized crystal structure of SiSnF2 (GGA-PBE, Alexandria).

a = 3.9761 Å, b = 3.9761 Å, c = 8.4770 Å
α = 76.44°, β = 76.44°, γ = 90.00°
Sites, in units of the cell vectors:
Si 0.5000 0.5000 0.0000
Si 0.2500 0.7500 0.5000
Sn 0.0000 0.0000 0.0000
Sn 0.7500 0.2500 0.5000
F 0.6081 0.1250 0.2500
F 0.1419 0.6250 0.2500
F 0.3750 0.3919 0.7500
F 0.8750 0.8581 0.7500

Spin magnetization, μB/f.u.: 0.0

2.
# SiSnF2

An optimized crystal structure of SiSnF2 (GGA-PBE, Alexandria).

a = 9.6330 Å, b = 9.6330 Å, c = 9.6330 Å
α = 17.68°, β = 17.68°, γ = 17.68°
Sites, in units of the cell vectors:
Si 0.0000 0.0000 0.0000
Sn 0.5000 0.5000 0.5000
F 0.9415 0.9415 0.9415
F 0.0585 0.0585 0.0585

Spin magnetization, μB/f.u.: 0.0

Which is most stable, and by how much? 2, by 208 meV per atom.

1.
# SiSnF3

An optimized crystal structure of SiSnF3 (GGA-PBE, Alexandria).

a = 4.3630 Å, b = 4.3630 Å, c = 4.3630 Å
α = 90.00°, β = 90.00°, γ = 90.00°
Sites, in units of the cell vectors:
Si 0.0000 0.0000 0.0000
Sn 0.5000 0.5000 0.5000
F 0.0000 0.5000 0.0000
F 0.0000 0.0000 0.5000
F 0.5000 0.0000 0.0000

Spin magnetization, μB/f.u.: 0.0

2.
# SiSnF3

An optimized crystal structure of SiSnF3 (GGA-PBE, Alexandria).

a = 4.5764 Å, b = 4.5764 Å, c = 4.5764 Å
α = 90.00°, β = 90.00°, γ = 90.00°
Last column: magnetic moment on the atom in μB.
Sites, in units of the cell vectors:
Si 0.5000 0.5000 0.5000  0.36
Sn 0.0000 0.0000 0.0000  -0.01
F 0.0000 0.5000 0.0000  0.00
F 0.0000 0.0000 0.5000  0.05
F 0.5000 0.0000 0.0000  -0.01

Spin magnetization, μB/f.u.: 1.1

Which is most stable, and by how much? 1, by 205 meV per atom.

1.
# SrSiF

An optimized crystal structure of SrSiF (GGA-PBE, Alexandria).

a = 4.0192 Å, b = 4.0174 Å, c = 9.9338 Å
α = 113.84°, β = 90.00°, γ = 120.01°
Sites, in units of the cell vectors:
Sr 0.7997 0.5994 0.6994
Sr 0.2003 0.4006 0.3006
Si 0.6998 0.3997 0.0498
Si 0.3002 0.6003 0.9502
F 0.6039 0.2077 0.4058
F 0.3961 0.7923 0.5942

Spin magnetization, μB/f.u.: 0.0

2.
# SrSiF

An optimized crystal structure of SrSiF (GGA-PBE, Alexandria).

a = 3.9763 Å, b = 3.9763 Å, c = 9.1852 Å
α = 90.00°, β = 90.00°, γ = 120.00°
Sites, in units of the cell vectors:
Sr 0.0000 0.0000 0.1543
Sr 0.6667 0.3333 0.5499
Si 0.6667 0.3333 0.9067
Si 0.3333 0.6667 0.8072
F 0.0000 0.0000 0.4523
F 0.6667 0.3333 0.2734

Spin magnetization, μB/f.u.: 0.0

Which is most stable, and by how much? 1, by 68 meV per atom.

1.
# SrSi2F

An optimized crystal structure of SrSi2F (GGA-PBE, Alexandria).

a = 4.9411 Å, b = 4.9411 Å, c = 4.9411 Å
α = 60.00°, β = 60.00°, γ = 60.00°
Sites, in units of the cell vectors:
Sr 0.5000 0.5000 0.5000
Si 0.2500 0.2500 0.2500
Si 0.7500 0.7500 0.7500
F 0.0000 0.0000 0.0000

Spin magnetization, μB/f.u.: 0.0

2.
# SrSi2F

An optimized crystal structure of SrSi2F (GGA-PBE, Alexandria).

a = 3.5256 Å, b = 3.5256 Å, c = 12.9242 Å
α = 82.16°, β = 82.16°, γ = 90.00°
Sites, in units of the cell vectors:
Sr 0.0000 0.0000 0.0000
Sr 0.7500 0.2500 0.5000
Si 0.6275 0.1250 0.2500
Si 0.1225 0.6250 0.2500
Si 0.3750 0.3725 0.7500
Si 0.8750 0.8775 0.7500
F 0.5000 0.5000 0.0000
F 0.2500 0.7500 0.5000

Spin magnetization, μB/f.u.: 0.0

Which is most stable, and by how much? 2, by 1307 meV per atom.

1.
# SrSiF2

An optimized crystal structure of SrSiF2 (GGA-PBE, Alexandria).

a = 6.0966 Å, b = 6.0966 Å, c = 6.9203 Å
α = 63.87°, β = 63.87°, γ = 90.00°
Sites, in units of the cell vectors:
Sr 0.0000 0.0000 0.0000
Sr 0.7500 0.2500 0.5000
Si 0.5000 0.5000 0.0000
Si 0.2500 0.7500 0.5000
F 0.7001 0.1250 0.2500
F 0.0499 0.6250 0.2500
F 0.3750 0.2999 0.7500
F 0.8750 0.9501 0.7500

Spin magnetization, μB/f.u.: 0.0

2.
# SrSiF2

An optimized crystal structure of SrSiF2 (GGA-PBE, Alexandria).

a = 9.0089 Å, b = 9.0089 Å, c = 9.0089 Å
α = 23.29°, β = 23.29°, γ = 23.29°
Sites, in units of the cell vectors:
Sr 0.0000 0.0000 0.0000
Si 0.5000 0.5000 0.5000
F 0.7095 0.7095 0.7095
F 0.2905 0.2905 0.2905

Spin magnetization, μB/f.u.: 0.0

3.
# SrSiF2

An optimized crystal structure of SrSiF2 (GGA-PBE, Alexandria).

a = 4.6432 Å, b = 4.6432 Å, c = 4.6432 Å
α = 60.00°, β = 60.00°, γ = 60.00°
Last column: magnetic moment on the atom in μB.
Sites, in units of the cell vectors:
Sr 0.5000 0.5000 0.5000  0.13
Si 0.0000 0.0000 0.0000  0.54
F 0.2500 0.2500 0.2500  0.09
F 0.7500 0.7500 0.7500  0.09

Spin magnetization, μB/f.u.: 2.0

Which is most stable, and by how much? 2, by 310 meV per atom.

1.
# Sr2SiF

An optimized crystal structure of Sr2SiF (GGA-PBE, Alexandria).

a = 7.3798 Å, b = 7.3798 Å, c = 6.6242 Å
α = 56.15°, β = 56.15°, γ = 90.00°
Last column: magnetic moment on the atom in μB.
Sites, in units of the cell vectors:
Sr 0.5616 0.1250 0.2500  0.05
Sr 0.1884 0.6250 0.2500  0.05
Sr 0.3750 0.4384 0.7500  0.05
Sr 0.8750 0.8116 0.7500  0.05
Si 0.0000 0.0000 0.0000  0.22
Si 0.7500 0.2500 0.5000  0.21
F 0.5000 0.5000 0.0000  0.01
F 0.2500 0.7500 0.5000  0.01

Spin magnetization, μB/f.u.: 1.0

2.
# Sr2SiF

An optimized crystal structure of Sr2SiF (GGA-PBE, Alexandria).

a = 4.7262 Å, b = 4.7262 Å, c = 8.3752 Å
α = 73.61°, β = 73.61°, γ = 60.00°
Last column: magnetic moment on the atom in μB.
Sites, in units of the cell vectors:
Sr 0.0973 0.0973 0.7082  0.05
Sr 0.9027 0.9027 0.2918  0.05
Si 0.5000 0.5000 0.5000  0.25
F 0.0000 0.0000 0.0000  0.00

Spin magnetization, μB/f.u.: 1.0

Which is most stable, and by how much? 2, by 12 meV per atom.

1.
# SrSi3F

An optimized crystal structure of SrSi3F (GGA-PBE, Alexandria).

a = 5.7971 Å, b = 5.7971 Å, c = 5.7971 Å
α = 90.00°, β = 90.00°, γ = 90.00°
Last column: magnetic moment on the atom in μB.
Sites, in units of the cell vectors:
Sr 0.0000 0.0000 0.0000  0.23
Si 0.0000 0.5000 0.0000  0.26
Si 0.0000 0.0000 0.5000  0.23
Si 0.5000 0.0000 0.0000  0.24
F 0.5000 0.5000 0.5000  0.24

Spin magnetization, μB/f.u.: 3.0

2.
# SrSi3F

An optimized crystal structure of SrSi3F (GGA-PBE, Alexandria).

a = 4.6149 Å, b = 4.6149 Å, c = 4.6149 Å
α = 90.00°, β = 90.00°, γ = 90.00°
Sites, in units of the cell vectors:
Sr 0.5000 0.5000 0.5000
Si 0.0000 0.5000 0.0000
Si 0.0000 0.0000 0.5000
Si 0.5000 0.0000 0.0000
F 0.0000 0.0000 0.0000

Spin magnetization, μB/f.u.: 0.0

Which is most stable, and by how much? 2, by 1545 meV per atom.

1.
# TaSiF3

An optimized crystal structure of TaSiF3 (GGA-PBE, Alexandria).

a = 4.2905 Å, b = 4.2905 Å, c = 4.2905 Å
α = 90.00°, β = 90.00°, γ = 90.00°
Last column: magnetic moment on the atom in μB.
Sites, in units of the cell vectors:
Si 0.0000 0.0000 0.0000  0.04
F 0.0000 0.5000 0.0000  0.06
F 0.0000 0.0000 0.5000  0.06
F 0.5000 0.0000 0.0000  0.04
Ta 0.5000 0.5000 0.5000  2.47

Spin magnetization, μB/f.u.: 4.0

2.
# TaSiF3

An optimized crystal structure of TaSiF3 (GGA-PBE, Alexandria).

a = 4.2519 Å, b = 4.2519 Å, c = 4.2519 Å
α = 90.00°, β = 90.00°, γ = 90.00°
Last column: magnetic moment on the atom in μB.
Sites, in units of the cell vectors:
Si 0.5000 0.5000 0.5000  0.45
F 0.0000 0.5000 0.0000  0.07
F 0.0000 0.0000 0.5000  0.09
F 0.5000 0.0000 0.0000  0.14
Ta 0.0000 0.0000 0.0000  1.43

Spin magnetization, μB/f.u.: 3.6

Which is most stable, and by how much? 2, by 770 meV per atom.

1.
# TaSiF2

An optimized crystal structure of TaSiF2 (GGA-PBE, Alexandria).

a = 8.3042 Å, b = 8.3042 Å, c = 8.3042 Å
α = 19.07°, β = 19.07°, γ = 19.07°
Sites, in units of the cell vectors:
Si 0.0000 0.0000 0.0000
F 0.9261 0.9261 0.9261
F 0.0739 0.0739 0.0739
Ta 0.5000 0.5000 0.5000

Spin magnetization, μB/f.u.: 0.0

2.
# TaSiF2

An optimized crystal structure of TaSiF2 (GGA-PBE, Alexandria).

a = 4.1583 Å, b = 4.1583 Å, c = 4.1583 Å
α = 60.00°, β = 60.00°, γ = 60.00°
Sites, in units of the cell vectors:
Si 0.0000 0.0000 0.0000
F 0.2500 0.2500 0.2500
F 0.7500 0.7500 0.7500
Ta 0.5000 0.5000 0.5000

Spin magnetization, μB/f.u.: 0.0

Which is most stable, and by how much? 1, by 504 meV per atom.

1.
# TaSiF2

An optimized crystal structure of TaSiF2 (GGA-PBE, Alexandria).

a = 10.3495 Å, b = 10.3495 Å, c = 10.3495 Å
α = 16.43°, β = 16.43°, γ = 16.43°
Sites, in units of the cell vectors:
Si 0.5000 0.5000 0.5000
F 0.9384 0.9384 0.9384
F 0.0616 0.0616 0.0616
Ta 0.0000 0.0000 0.0000

Spin magnetization, μB/f.u.: 0.0

2.
# TaSiF2

An optimized crystal structure of TaSiF2 (GGA-PBE, Alexandria).

a = 7.6367 Å, b = 7.6367 Å, c = 5.9460 Å
α = 50.05°, β = 50.05°, γ = 90.00°
Sites, in units of the cell vectors:
Si 0.5000 0.5000 0.0000
Si 0.2500 0.7500 0.5000
F 0.7909 0.1250 0.2500
F 0.9591 0.6250 0.2500
F 0.3750 0.2091 0.7500
F 0.8750 0.0409 0.7500
Ta 0.0000 0.0000 0.0000
Ta 0.7500 0.2500 0.5000

Spin magnetization, μB/f.u.: 0.0

Which is most stable, and by how much? 1, by 280 meV per atom.